{
  "formula": "K2PRu",
  "functional": "SCAN",
  "state": "single point on PBEsol structure",
  "cell": [[3.721, 0.000, 0.000], [0.000, 5.329, 0.000], [0.000, -2.664, 5.776]],
  "species": ["Ru", "K", "P", "K"],
  "fractional_positions": [[0.500, 0.581, 0.163], [0.000, 0.974, 0.947], [0.000, 0.677, 0.354], [0.500, 0.266, 0.533]],
  "e_form_ev_per_atom": -0.02
}


{
  "formula": "K2PRu",
  "functional": "SCAN",
  "state": "single point on PBEsol structure",
  "cell": [[3.362, 0.000, 0.000], [0.000, 4.960, 0.000], [0.000, 0.000, 5.105]],
  "species": ["K", "Ru", "P", "K"],
  "fractional_positions": [[0.000, 0.249, 0.000], [0.500, 0.000, 0.500], [0.500, 0.500, 0.500], [0.000, 0.751, 0.000]],
  "e_form_ev_per_atom": 0.65
}


{
  "formula": "KP2Ru",
  "functional": "SCAN",
  "state": "single point on PBEsol structure",
  "cell": [[4.494, 0.000, 0.000], [2.247, 3.892, 0.000], [2.247, 1.297, 3.669]],
  "species": ["P", "K", "P", "Ru"],
  "fractional_positions": [[0.750, 0.750, 0.750], [0.500, 0.500, 0.500], [0.000, 0.000, 0.000], [0.250, 0.250, 0.250]],
  "e_above_lowest_polymorph_ev_per_fu": 5.110,
  "e_form_ev_per_atom": 1.08
}


{
  "formula": "KP2Ru",
  "functional": "SCAN",
  "state": "single point on PBEsol structure",
  "cell": [[-0.786, 2.863, 2.596], [-3.864, -0.600, -0.509], [2.352, -3.985, 2.112]],
  "species": ["Ru", "P", "K", "P"],
  "fractional_positions": [[0.500, 0.500, 0.000], [0.000, 0.000, 0.000], [0.250, 0.750, 0.500], [0.750, 0.250, 0.500]],
  "e_above_lowest_polymorph_ev_per_fu": 4.794,
  "e_form_ev_per_atom": 1.00
}


{
  "formula": "K4PRu",
  "functional": "SCAN",
  "state": "single point on PBEsol structure",
  "cell": [[-2.579, -3.511, 4.403], [0.850, -6.135, -0.038], [3.556, -2.660, 4.318]],
  "species": ["Ru", "K", "K", "K", "P", "K"],
  "fractional_positions": [[0.000, 0.000, 0.000], [0.376, 0.871, 0.376], [0.376, 0.376, 0.871], [0.871, 0.376, 0.376], [0.750, 0.750, 0.750], [0.376, 0.376, 0.376]],
  "e_form_ev_per_atom": 1.02
}


{
  "formula": "KP2Ru2",
  "functional": "SCAN",
  "state": "single point on PBEsol structure",
  "cell": [[3.995, 0.000, 0.000], [0.000, 3.995, 0.000], [-1.998, -1.998, 6.044]],
  "species": ["Ru", "P", "K", "Ru", "P"],
  "fractional_positions": [[0.250, 0.750, 0.500], [0.343, 0.343, 0.686], [0.000, 0.000, 0.000], [0.750, 0.250, 0.500], [0.657, 0.657, 0.314]],
  "e_form_ev_per_atom": -0.72
}


{
  "formula": "K2PRu",
  "functional": "SCAN",
  "state": "single point on PBEsol structure",
  "cell": [[-4.268, 0.844, 0.652], [-1.185, -4.198, -2.323], [0.724, -3.699, 6.316]],
  "species": ["K", "P", "K", "Ru"],
  "fractional_positions": [[0.730, 0.000, 0.741], [0.500, 0.500, 0.500], [0.270, 0.000, 0.259], [0.000, 0.500, 0.500]],
  "e_form_ev_per_atom": 0.17
}


{
  "formula": "K3P5RuSe10",
  "functional": "SCAN",
  "state": "single point on PBEsol structure",
  "cell": [[-3.597, -6.244, 0.926], [5.134, -1.520, 9.701], [-9.475, 6.213, 5.083]],
  "species": ["Ru", "P", "Se", "Se", "Se", "P", "Se", "P", "Se", "K", "Se", "P", "Se", "K", "Se", "K", "P", "K", "K", "Se", "Se", "Se", "Ru", "Se", "Se", "Se", "P", "Se", "P", "K", "P", "P", "Se", "Se", "Se", "P", "Se", "Se"],
  "fractional_positions": [[0.250, 0.653, 0.885], [0.750, 0.274, 0.940], [0.507, 0.337, 0.835], [0.001, 0.259, 0.500], [0.999, 0.741, 0.500], [0.250, 0.726, 0.060], [0.021, 0.817, 0.833], [0.750, 0.132, 0.274], [0.250, 0.914, 0.122], [0.750, 0.901, 0.070], [0.250, 0.044, 0.663], [0.250, 0.723, 0.591], [0.007, 0.663, 0.165], [0.250, 0.477, 0.386], [0.493, 0.663, 0.165], [0.750, 0.019, 0.608], [0.521, 0.476, 0.084], [0.250, 0.099, 0.930], [0.250, 0.981, 0.392], [0.499, 0.259, 0.500], [0.750, 0.624, 0.878], [0.993, 0.337, 0.835], [0.750, 0.347, 0.115], [0.750, 0.441, 0.311], [0.479, 0.817, 0.833], [0.750, 0.086, 0.878], [0.479, 0.524, 0.916], [0.521, 0.183, 0.167], [0.021, 0.524, 0.916], [0.750, 0.523, 0.614], [0.979, 0.476, 0.084], [0.250, 0.868, 0.726], [0.250, 0.376, 0.122], [0.979, 0.183, 0.167], [0.250, 0.559, 0.689], [0.750, 0.277, 0.409], [0.501, 0.741, 0.500], [0.750, 0.956, 0.337]],
  "formation_energy_uncorrected_ev_per_fu": -12.0
}


{
  "formula": "K3PS4",
  "functional": "SCAN",
  "state": "single point on PBEsol structure",
  "cell": [[-2.767, -8.004, 2.767], [5.329, -3.983, -6.193], [7.778, -0.307, 6.890]],
  "species": ["P", "P", "S", "S", "S", "K", "K", "P", "K", "S", "S", "S", "K", "K", "S", "S", "K", "S", "S", "K", "K", "K", "K", "S", "S", "S", "K", "S", "S", "S", "P", "K"],
  "fractional_positions": [[0.277, 0.020, 0.250], [0.723, 0.980, 0.750], [0.516, 0.081, 0.750], [0.163, 0.962, 0.413], [0.016, 0.419, 0.750], [0.052, 0.298, 0.457], [0.355, 0.581, 0.250], [0.777, 0.480, 0.250], [0.645, 0.419, 0.750], [0.696, 0.756, 0.750], [0.663, 0.538, 0.087], [0.337, 0.462, 0.913], [0.855, 0.919, 0.250], [0.552, 0.202, 0.457], [0.804, 0.256, 0.250], [0.484, 0.919, 0.250], [0.948, 0.702, 0.543], [0.837, 0.038, 0.913], [0.837, 0.038, 0.587], [0.552, 0.202, 0.043], [0.145, 0.081, 0.750], [0.448, 0.798, 0.543], [0.448, 0.798, 0.957], [0.984, 0.581, 0.250], [0.337, 0.462, 0.587], [0.663, 0.538, 0.413], [0.948, 0.702, 0.957], [0.196, 0.744, 0.750], [0.163, 0.962, 0.087], [0.304, 0.244, 0.250], [0.223, 0.520, 0.750], [0.052, 0.298, 0.043]],
  "formation_energy_uncorrected_ev_per_fu": -9.5
}


{
  "formula": "KSbP2S",
  "functional": "SCAN",
  "state": "single point on PBEsol structure",
  "cell": [[-1.168, -2.456, -4.302], [1.918, -4.300, 1.934], [-4.670, -1.204, 1.955]],
  "species": ["P", "K", "P", "Sb", "S"],
  "fractional_positions": [[0.000, 0.500, 0.000], [0.500, 0.500, 0.500], [0.500, 0.000, 0.000], [0.000, 0.000, 0.000], [0.000, 0.000, 0.500]],
  "formation_energy_uncorrected_ev_per_fu": 1.9
}


{
  "formula": "KSmP2S7",
  "functional": "SCAN",
  "state": "single point on PBEsol structure",
  "cell": [[8.909, 0.013, 0.000], [-0.038, 9.576, 0.000], [0.000, 0.000, 12.248]],
  "species": ["S", "S", "S", "P", "S", "S", "P", "K", "P", "P", "S", "Sm", "S", "S", "S", "S", "S", "S", "S", "K", "P", "Sm", "S", "S", "S", "P", "P", "S", "S", "Sm", "S", "S", "S", "S", "S", "S", "Sm", "S", "P", "S", "K", "S", "K", "S"],
  "fractional_positions": [[0.821, 0.988, 0.941], [0.679, 0.012, 0.441], [0.715, 0.371, 0.057], [0.301, 0.816, 0.464], [0.386, 0.371, 0.209], [0.574, 0.753, 0.054], [0.199, 0.184, 0.964], [0.630, 0.607, 0.307], [0.699, 0.184, 0.536], [0.975, 0.725, 0.603], [0.074, 0.753, 0.446], [0.395, 0.142, 0.357], [0.855, 0.851, 0.195], [0.179, 0.012, 0.059], [0.145, 0.149, 0.805], [0.078, 0.087, 0.330], [0.285, 0.629, 0.943], [0.114, 0.629, 0.709], [0.422, 0.913, 0.830], [0.130, 0.607, 0.193], [0.025, 0.275, 0.397], [0.605, 0.858, 0.643], [0.930, 0.663, 0.974], [0.614, 0.629, 0.791], [0.922, 0.913, 0.670], [0.525, 0.275, 0.103], [0.475, 0.725, 0.897], [0.926, 0.247, 0.554], [0.785, 0.629, 0.557], [0.105, 0.858, 0.857], [0.430, 0.663, 0.526], [0.578, 0.087, 0.170], [0.886, 0.371, 0.291], [0.426, 0.247, 0.946], [0.321, 0.988, 0.559], [0.355, 0.851, 0.305], [0.895, 0.142, 0.143], [0.570, 0.337, 0.474], [0.801, 0.816, 0.036], [0.215, 0.371, 0.443], [0.370, 0.393, 0.693], [0.070, 0.337, 0.026], [0.870, 0.393, 0.807], [0.645, 0.149, 0.695]],
  "formation_energy_uncorrected_ev_per_fu": -11.8
}


{
  "formula": "K2SmP2S7",
  "functional": "SCAN",
  "state": "single point on PBEsol structure",
  "cell": [[6.669, 0.000, 0.000], [0.000, 8.443, 1.149], [-3.335, 0.145, 11.191]],
  "species": ["P", "P", "S", "S", "S", "S", "K", "K", "P", "S", "S", "S", "S", "S", "S", "S", "K", "S", "K", "Sm", "S", "P", "S", "Sm"],
  "fractional_positions": [[0.454, 0.283, 0.589], [0.153, 0.380, 0.054], [0.510, 0.522, 0.565], [0.271, 0.220, 0.700], [0.740, 0.170, 0.668], [0.295, 0.615, 0.841], [0.663, 0.714, 0.065], [0.598, 0.286, 0.935], [0.099, 0.620, 0.946], [0.324, 0.220, 0.422], [0.454, 0.385, 0.159], [0.901, 0.780, 0.578], [0.571, 0.780, 0.300], [0.945, 0.478, 0.435], [0.088, 0.230, 0.932], [0.957, 0.380, 0.160], [0.785, 0.131, 0.387], [0.072, 0.830, 0.332], [0.398, 0.869, 0.613], [0.957, 0.456, 0.687], [0.156, 0.770, 0.068], [0.865, 0.717, 0.411], [0.798, 0.620, 0.840], [0.271, 0.544, 0.313]],
  "formation_energy_uncorrected_ev_per_fu": -14.5
}